{
  "formula": "Ta2AlZn",
  "functional": "PBE-GGA",
  "state": "relaxed",
  "volume_a3_per_atom": 16.632,
  "e_form_ev_per_atom": -0.021,
  "polymorph_energy_ev_per_fu": 0.39,
  "m_tot_mub_per_cell": 0.00,
  "dft_energy_ev_per_atom": -7.20,
  "lattice": [[10.318, 0.000, 0.000], [0.000, 2.963, 0.000], [-2.072, 0.000, 4.352]],
  "species": ["Ta", "Ta", "Ta", "Ta", "Al", "Al", "Zn", "Zn"],
  "fractional_positions": [[0.000, 0.000, 0.000], [0.237, 0.000, 0.833], [0.500, 0.500, 0.000], [0.737, 0.500, 0.833], [0.254, 0.500, 0.355], [0.754, 0.000, 0.355], [0.489, 0.000, 0.479], [0.989, 0.500, 0.479]]
}

=====

{
  "formula": "Ta3Al12Zn5",
  "functional": "PBE-GGA",
  "state": "relaxed",
  "volume_a3_per_atom": 22.368,
  "e_form_ev_per_atom": 0.542,
  "m_tot_mub_per_cell": 0.00,
  "dft_energy_ev_per_atom": -3.80,
  "lattice": [[-7.648, 7.648, 7.648], [7.648, -7.648, 7.648], [7.648, 7.648, -7.648]],
  "species": ["Ta", "Ta", "Ta", "Ta", "Ta", "Ta", "Ta", "Ta", "Ta", "Ta", "Ta", "Ta", "Al", "Al", "Al", "Al", "Al", "Al", "Al", "Al", "Al", "Al", "Al", "Al", "Al", "Al", "Al", "Al", "Al", "Al", "Al", "Al", "Al", "Al", "Al", "Al", "Al", "Al", "Al", "Al", "Al", "Al", "Al", "Al", "Al", "Al", "Al", "Al", "Al", "Al", "Al", "Al", "Al", "Al", "Al", "Al", "Al", "Al", "Al", "Al", "Zn", "Zn", "Zn", "Zn", "Zn", "Zn", "Zn", "Zn", "Zn", "Zn", "Zn", "Zn", "Zn", "Zn", "Zn", "Zn", "Zn", "Zn", "Zn", "Zn"],
  "fractional_positions": [[0.125, 0.250, 0.375], [0.125, 0.375, 0.750], [0.250, 0.375, 0.125], [0.250, 0.875, 0.625], [0.375, 0.125, 0.250], [0.375, 0.750, 0.125], [0.625, 0.250, 0.875], [0.625, 0.875, 0.750], [0.750, 0.125, 0.375], [0.750, 0.625, 0.875], [0.875, 0.625, 0.250], [0.875, 0.750, 0.625], [0.069, 0.227, 0.145], [0.069, 0.342, 0.924], [0.076, 0.645, 0.418], [0.076, 0.931, 0.658], [0.082, 0.727, 0.658], [0.082, 0.855, 0.424], [0.145, 0.069, 0.227], [0.145, 0.576, 0.918], [0.158, 0.227, 0.582], [0.158, 0.431, 0.576], [0.227, 0.145, 0.069], [0.227, 0.582, 0.158], [0.273, 0.342, 0.918], [0.273, 0.431, 0.355], [0.342, 0.918, 0.273], [0.342, 0.924, 0.069], [0.355, 0.273, 0.431], [0.355, 0.582, 0.924], [0.418, 0.076, 0.645], [0.418, 0.842, 0.773], [0.424, 0.082, 0.855], [0.424, 0.842, 0.569], [0.431, 0.355, 0.273], [0.431, 0.576, 0.158], [0.569, 0.424, 0.842], [0.569, 0.645, 0.727], [0.576, 0.158, 0.431], [0.576, 0.918, 0.145], [0.582, 0.158, 0.227], [0.582, 0.924, 0.355], [0.645, 0.418, 0.076], [0.645, 0.727, 0.569], [0.658, 0.076, 0.931], [0.658, 0.082, 0.727], [0.727, 0.569, 0.645], [0.727, 0.658, 0.082], [0.773, 0.418, 0.842], [0.773, 0.855, 0.931], [0.842, 0.569, 0.424], [0.842, 0.773, 0.418], [0.855, 0.424, 0.082], [0.855, 0.931, 0.773], [0.918, 0.145, 0.576], [0.918, 0.273, 0.342], [0.924, 0.069, 0.342], [0.924, 0.355, 0.582], [0.931, 0.658, 0.076], [0.931, 0.773, 0.855], [0.000, 0.000, 0.000], [0.000, 0.000, 0.500], [0.000, 0.500, 0.000], [0.000, 0.500, 0.500], [0.125, 0.750, 0.875], [0.125, 0.875, 0.250], [0.250, 0.125, 0.875], [0.250, 0.625, 0.375], [0.375, 0.250, 0.625], [0.375, 0.625, 0.750], [0.500, 0.000, 0.000], [0.500, 0.000, 0.500], [0.500, 0.500, 0.000], [0.500, 0.500, 0.500], [0.625, 0.375, 0.250], [0.625, 0.750, 0.375], [0.750, 0.375, 0.625], [0.750, 0.875, 0.125], [0.875, 0.125, 0.750], [0.875, 0.250, 0.125]]
}

=====

{
  "formula": "Ta2AlZn",
  "functional": "PBE-GGA",
  "state": "relaxed",
  "volume_a3_per_atom": 16.896,
  "e_form_ev_per_atom": 0.230,
  "polymorph_energy_ev_per_fu": 1.39,
  "m_tot_mub_per_cell": 2.03,
  "dft_energy_ev_per_atom": -6.95,
  "lattice": [[6.466, 0.000, 0.000], [0.000, 6.466, 0.000], [0.000, 0.000, 6.466]],
  "species": ["Ta", "Ta", "Ta", "Ta", "Ta", "Ta", "Ta", "Ta", "Al", "Al", "Al", "Al", "Zn", "Zn", "Zn", "Zn"],
  "fractional_positions": [[0.000, 0.000, 0.000], [0.000, 0.500, 0.500], [0.250, 0.250, 0.250], [0.250, 0.750, 0.750], [0.500, 0.000, 0.500], [0.500, 0.500, 0.000], [0.750, 0.250, 0.750], [0.750, 0.750, 0.250], [0.250, 0.250, 0.750], [0.250, 0.750, 0.250], [0.750, 0.250, 0.250], [0.750, 0.750, 0.750], [0.000, 0.000, 0.500], [0.000, 0.500, 0.000], [0.500, 0.000, 0.000], [0.500, 0.500, 0.500]]
}

=====

{
  "formula": "Ta2AlZn",
  "functional": "PBE-GGA",
  "state": "relaxed",
  "volume_a3_per_atom": 16.831,
  "e_form_ev_per_atom": -0.018,
  "polymorph_energy_ev_per_fu": 0.40,
  "m_tot_mub_per_cell": 0.00,
  "dft_energy_ev_per_atom": -7.20,
  "lattice": [[2.834, 0.000, 0.000], [0.000, 2.834, 0.000], [0.000, 0.000, 8.380]],
  "species": ["Ta", "Ta", "Al", "Zn"],
  "fractional_positions": [[0.000, 0.000, 0.000], [0.500, 0.500, 0.277], [0.500, 0.500, 0.757], [0.000, 0.000, 0.524]]
}

=====

{
  "formula": "Ta2AlZn",
  "functional": "PBE-GGA",
  "state": "relaxed",
  "volume_a3_per_atom": 16.544,
  "e_form_ev_per_atom": -0.100,
  "polymorph_energy_ev_per_fu": 0.07,
  "m_tot_mub_per_cell": 0.00,
  "dft_energy_ev_per_atom": -7.28,
  "lattice": [[3.869, 0.000, 0.000], [0.000, 4.049, 0.000], [0.000, 0.000, 8.449]],
  "species": ["Ta", "Ta", "Ta", "Ta", "Al", "Al", "Zn", "Zn"],
  "fractional_positions": [[0.000, 0.000, 0.250], [0.000, 0.000, 0.750], [0.500, 0.500, 0.250], [0.500, 0.500, 0.750], [0.000, 0.500, 0.000], [0.500, 0.000, 0.500], [0.000, 0.500, 0.500], [0.500, 0.000, 0.000]]
}

=====

{
  "formula": "Ta2AlZn",
  "functional": "PBE-GGA",
  "state": "relaxed",
  "volume_a3_per_atom": 16.516,
  "e_form_ev_per_atom": -0.093,
  "polymorph_energy_ev_per_fu": 0.10,
  "m_tot_mub_per_cell": 0.00,
  "dft_energy_ev_per_atom": -7.27,
  "lattice": [[2.844, 0.000, 0.000], [0.000, 2.844, 0.000], [0.000, 0.000, 8.169]],
  "species": ["Ta", "Ta", "Al", "Zn"],
  "fractional_positions": [[0.000, 0.000, 0.246], [0.000, 0.000, 0.754], [0.500, 0.500, 0.500], [0.500, 0.500, 0.000]]
}

=====

{
  "formula": "Ta2Al8Zn",
  "functional": "PBE-GGA",
  "state": "relaxed",
  "volume_a3_per_atom": 17.720,
  "e_form_ev_per_atom": 0.090,
  "m_tot_mub_per_cell": 0.00,
  "dft_energy_ev_per_atom": -4.90,
  "lattice": [[4.212, -5.676, 0.000], [4.212, 5.676, 0.000], [0.000, 0.000, 4.076]],
  "species": ["Ta", "Ta", "Al", "Al", "Al", "Al", "Al", "Al", "Al", "Al", "Zn"],
  "fractional_positions": [[0.123, 0.877, 0.000], [0.877, 0.123, 0.000], [0.171, 0.171, 0.500], [0.181, 0.469, 0.000], [0.271, 0.729, 0.500], [0.469, 0.181, 0.000], [0.531, 0.819, 0.000], [0.729, 0.271, 0.500], [0.819, 0.531, 0.000], [0.829, 0.829, 0.500], [0.500, 0.500, 0.500]]
}

=====

{
  "formula": "Ta2AlZn",
  "functional": "PBE-GGA",
  "state": "relaxed",
  "volume_a3_per_atom": 16.919,
  "e_form_ev_per_atom": -0.039,
  "polymorph_energy_ev_per_fu": 0.31,
  "m_tot_mub_per_cell": 0.00,
  "dft_energy_ev_per_atom": -7.22,
  "lattice": [[3.514, 0.000, 0.000], [0.000, 4.483, 0.000], [0.000, 0.000, 8.592]],
  "species": ["Ta", "Ta", "Ta", "Ta", "Al", "Al", "Zn", "Zn"],
  "fractional_positions": [[0.000, 0.000, 0.000], [0.000, 0.500, 0.266], [0.500, 0.000, 0.266], [0.500, 0.500, 0.000], [0.000, 0.500, 0.752], [0.500, 0.000, 0.752], [0.000, 0.000, 0.517], [0.500, 0.500, 0.517]]
}

=====

{
  "formula": "Ta2AlZn",
  "functional": "PBE-GGA",
  "state": "relaxed",
  "volume_a3_per_atom": 16.552,
  "e_form_ev_per_atom": -0.117,
  "polymorph_energy_ev_per_fu": 0.00,
  "m_tot_mub_per_cell": 0.00,
  "dft_energy_ev_per_atom": -7.30,
  "lattice": [[4.142, 0.000, 0.000], [0.000, 2.997, 0.000], [0.000, 0.000, 10.669]],
  "species": ["Ta", "Ta", "Ta", "Ta", "Al", "Al", "Zn", "Zn"],
  "fractional_positions": [[0.000, 0.000, 0.000], [0.000, 0.500, 0.500], [0.500, 0.000, 0.348], [0.500, 0.500, 0.848], [0.000, 0.000, 0.739], [0.000, 0.500, 0.239], [0.500, 0.000, 0.607], [0.500, 0.500, 0.107]]
}

=====

{
  "formula": "Ta2AlZn",
  "functional": "PBE-GGA",
  "state": "relaxed",
  "volume_a3_per_atom": 17.154,
  "e_form_ev_per_atom": 0.075,
  "polymorph_energy_ev_per_fu": 0.77,
  "m_tot_mub_per_cell": 0.00,
  "dft_energy_ev_per_atom": -7.11,
  "lattice": [[3.028, 0.000, 0.000], [0.000, 3.785, 0.000], [0.000, 0.000, 5.986]],
  "species": ["Ta", "Ta", "Al", "Zn"],
  "fractional_positions": [[0.000, 0.000, 0.000], [0.500, 0.500, 0.241], [0.500, 0.500, 0.737], [0.000, 0.000, 0.510]]
}

=====

{
  "formula": "Ta2AlZn",
  "functional": "PBE-GGA",
  "state": "relaxed",
  "volume_a3_per_atom": 17.150,
  "e_form_ev_per_atom": 0.047,
  "polymorph_energy_ev_per_fu": 0.66,
  "m_tot_mub_per_cell": 0.00,
  "dft_energy_ev_per_atom": -7.13,
  "lattice": [[2.904, 0.000, 0.000], [-1.452, 2.515, 0.000], [0.000, 0.000, 28.180]],
  "species": ["Ta", "Ta", "Ta", "Ta", "Ta", "Ta", "Al", "Al", "Al", "Zn", "Zn", "Zn"],
  "fractional_positions": [[0.000, 0.000, 0.250], [0.000, 0.000, 0.750], [0.333, 0.667, 0.416], [0.333, 0.667, 0.917], [0.667, 0.333, 0.083], [0.667, 0.333, 0.584], [0.000, 0.000, 0.500], [0.333, 0.667, 0.167], [0.667, 0.333, 0.833], [0.000, 0.000, 0.000], [0.333, 0.667, 0.667], [0.667, 0.333, 0.333]]
}

=====

{
  "formula": "TaAlZn4",
  "functional": "PBE-GGA",
  "state": "relaxed",
  "volume_a3_per_atom": 15.442,
  "e_form_ev_per_atom": 0.209,
  "m_tot_mub_per_cell": 2.01,
  "dft_energy_ev_per_atom": -3.24,
  "lattice": [[0.000, 3.592, 3.592], [3.592, 0.000, 3.592], [3.592, 3.592, 0.000]],
  "species": ["Ta", "Al", "Zn", "Zn", "Zn", "Zn"],
  "fractional_positions": [[0.000, 0.000, 0.000], [0.250, 0.250, 0.250], [0.122, 0.626, 0.626], [0.626, 0.122, 0.626], [0.626, 0.626, 0.122], [0.626, 0.626, 0.626]]
}

=====

{
  "formula": "Ta2AlZn",
  "functional": "PBE-GGA",
  "state": "relaxed",
  "volume_a3_per_atom": 16.654,
  "e_form_ev_per_atom": -0.040,
  "polymorph_energy_ev_per_fu": 0.31,
  "m_tot_mub_per_cell": 0.00,
  "dft_energy_ev_per_atom": -7.22,
  "lattice": [[3.906, 0.000, 0.000], [0.000, 3.906, 0.000], [0.000, 0.000, 8.733]],
  "species": ["Ta", "Ta", "Ta", "Ta", "Al", "Al", "Zn", "Zn"],
  "fractional_positions": [[0.000, 0.000, 0.000], [0.000, 0.500, 0.250], [0.500, 0.000, 0.750], [0.500, 0.500, 0.500], [0.000, 0.000, 0.500], [0.500, 0.500, 0.000], [0.000, 0.500, 0.750], [0.500, 0.000, 0.250]]
}

=====

{
  "formula": "Ta4AlZn",
  "functional": "PBE-GGA",
  "state": "relaxed",
  "volume_a3_per_atom": 19.124,
  "e_form_ev_per_atom": 0.490,
  "m_tot_mub_per_cell": 0.00,
  "dft_energy_ev_per_atom": -8.25,
  "lattice": [[0.000, 3.857, 3.857], [3.857, 0.000, 3.857], [3.857, 3.857, 0.000]],
  "species": ["Ta", "Ta", "Ta", "Ta", "Al", "Zn"],
  "fractional_positions": [[0.125, 0.125, 0.125], [0.125, 0.125, 0.624], [0.125, 0.624, 0.125], [0.624, 0.125, 0.125], [0.500, 0.500, 0.500], [0.750, 0.750, 0.750]]
}

=====

{
  "formula": "Ta2AlZn",
  "functional": "PBE-GGA",
  "state": "relaxed",
  "volume_a3_per_atom": 17.259,
  "e_form_ev_per_atom": 0.099,
  "polymorph_energy_ev_per_fu": 0.86,
  "m_tot_mub_per_cell": 0.00,
  "dft_energy_ev_per_atom": -7.08,
  "lattice": [[2.904, 0.000, 0.000], [-1.452, 2.515, 0.000], [0.000, 0.000, 28.358]],
  "species": ["Ta", "Ta", "Ta", "Ta", "Ta", "Ta", "Al", "Al", "Al", "Zn", "Zn", "Zn"],
  "fractional_positions": [[0.000, 0.000, 0.000], [0.000, 0.000, 0.243], [0.333, 0.667, 0.667], [0.333, 0.667, 0.910], [0.667, 0.333, 0.333], [0.667, 0.333, 0.576], [0.000, 0.000, 0.495], [0.333, 0.667, 0.162], [0.667, 0.333, 0.828], [0.000, 0.000, 0.750], [0.333, 0.667, 0.416], [0.667, 0.333, 0.083]]
}

=====

{
  "formula": "Ta2AlZn",
  "functional": "PBE-GGA",
  "state": "relaxed",
  "volume_a3_per_atom": 16.524,
  "e_form_ev_per_atom": 0.078,
  "polymorph_energy_ev_per_fu": 0.78,
  "m_tot_mub_per_cell": 0.00,
  "dft_energy_ev_per_atom": -7.10,
  "lattice": [[4.849, 0.000, 0.000], [0.000, 4.849, 0.000], [0.000, 0.000, 2.811]],
  "species": ["Ta", "Ta", "Al", "Zn"],
  "fractional_positions": [[0.000, 0.500, 0.000], [0.500, 0.000, 0.000], [0.000, 0.000, 0.500], [0.500, 0.500, 0.500]]
}

=====

{
  "formula": "Ta2AlZn",
  "functional": "PBE-GGA",
  "state": "relaxed",
  "volume_a3_per_atom": 16.578,
  "e_form_ev_per_atom": -0.100,
  "polymorph_energy_ev_per_fu": 0.07,
  "m_tot_mub_per_cell": 0.00,
  "dft_energy_ev_per_atom": -7.28,
  "lattice": [[2.810, 0.000, 0.000], [0.000, 4.214, 0.000], [-0.092, 0.000, 5.600]],
  "species": ["Ta", "Ta", "Al", "Zn"],
  "fractional_positions": [[0.002, 0.000, 0.252], [0.998, 0.000, 0.748], [0.500, 0.500, 0.500], [0.500, 0.500, 0.000]]
}

=====

{
  "formula": "Ta2AlZn",
  "functional": "PBE-GGA",
  "state": "relaxed",
  "volume_a3_per_atom": 16.561,
  "e_form_ev_per_atom": -0.096,
  "polymorph_energy_ev_per_fu": 0.08,
  "m_tot_mub_per_cell": 0.00,
  "dft_energy_ev_per_atom": -7.28,
  "lattice": [[5.605, 0.000, 0.000], [0.000, 8.391, 0.000], [0.000, 0.000, 2.817]],
  "species": ["Ta", "Ta", "Ta", "Ta", "Al", "Al", "Zn", "Zn"],
  "fractional_positions": [[0.250, 0.250, 0.000], [0.250, 0.750, 0.000], [0.750, 0.250, 0.000], [0.750, 0.750, 0.000], [0.000, 0.000, 0.500], [0.500, 0.500, 0.500], [0.000, 0.500, 0.500], [0.500, 0.000, 0.500]]
}

=====

{
  "formula": "Ta2AlZn",
  "functional": "PBE-GGA",
  "state": "relaxed",
  "volume_a3_per_atom": 16.463,
  "e_form_ev_per_atom": 0.147,
  "polymorph_energy_ev_per_fu": 1.06,
  "m_tot_mub_per_cell": 0.00,
  "dft_energy_ev_per_atom": -7.03,
  "lattice": [[6.410, 0.000, 0.000], [0.000, 6.410, 0.000], [0.000, 0.000, 6.410]],
  "species": ["Ta", "Ta", "Ta", "Ta", "Ta", "Ta", "Ta", "Ta", "Al", "Al", "Al", "Al", "Zn", "Zn", "Zn", "Zn"],
  "fractional_positions": [[0.250, 0.250, 0.250], [0.250, 0.250, 0.750], [0.250, 0.750, 0.250], [0.250, 0.750, 0.750], [0.750, 0.250, 0.250], [0.750, 0.250, 0.750], [0.750, 0.750, 0.250], [0.750, 0.750, 0.750], [0.000, 0.000, 0.000], [0.000, 0.500, 0.500], [0.500, 0.000, 0.500], [0.500, 0.500, 0.000], [0.000, 0.000, 0.500], [0.000, 0.500, 0.000], [0.500, 0.000, 0.000], [0.500, 0.500, 0.500]]
}

=====

{
  "formula": "Ta2AlZn",
  "functional": "PBE-GGA",
  "state": "relaxed",
  "volume_a3_per_atom": 17.721,
  "e_form_ev_per_atom": 0.402,
  "polymorph_energy_ev_per_fu": 2.08,
  "m_tot_mub_per_cell": 0.00,
  "dft_energy_ev_per_atom": -6.78,
  "lattice": [[7.178, 0.000, 0.000], [0.000, 7.178, 0.000], [0.000, 0.000, 5.504]],
  "species": ["Ta", "Ta", "Ta", "Ta", "Ta", "Ta", "Ta", "Ta", "Al", "Al", "Al", "Al", "Zn", "Zn", "Zn", "Zn"],
  "fractional_positions": [[0.245, 0.250, 0.125], [0.250, 0.745, 0.375], [0.250, 0.755, 0.875], [0.255, 0.250, 0.625], [0.745, 0.750, 0.625], [0.750, 0.245, 0.875], [0.750, 0.255, 0.375], [0.755, 0.750, 0.125], [0.000, 0.000, 0.500], [0.000, 0.500, 0.750], [0.500, 0.000, 0.250], [0.500, 0.500, 0.000], [0.000, 0.000, 0.000], [0.000, 0.500, 0.250], [0.500, 0.000, 0.750], [0.500, 0.500, 0.500]]
}